Here is crystalline UPaTa2 at its relaxed geometry from Alexandria. Energies are from PBE-GGA. Values from VASP.

For the total energy, the calculation gives -0.783 Ry per atom. For the formation energy, the calculation gives 0.47 eV/atom. The calculation puts the volume at 86 Å³/cell. As for the distance to the lowest polymorph of the same formula: 0.00 eV/f.u. The density comes out at 16.0 g cm⁻³.

Cell and atoms, written as Quantum ESPRESSO input:
```
&SYSTEM
  ibrav = 0, nat = 4, ntyp = 3
/
ATOMIC_SPECIES
U 238.03 U.upf
Pa 231.04 Pa.upf
Ta 180.95 Ta.upf
ATOMIC_POSITIONS crystal
U 0.5000 0.5000 0.0000
Pa 0.5000 0.5000 0.5000
Ta 0.0000 0.0000 0.7886
Ta 0.0000 0.0000 0.2114
CELL_PARAMETERS angstrom
3.4009 0.0000 0.0000
0.0000 3.4009 0.0000
0.0000 0.0000 7.4569
```

=====

Here is crystalline PaTaV4 at its relaxed geometry from Alexandria. Energies are from PBE-GGA. Values from VASP.

For the total energy, the calculation gives -0.704 Ry per atom. For the formation energy, the calculation gives 0.05 eV/atom. The calculation puts the volume at 98 Å³/cell. The density comes out at 10.5 g cm⁻³.

Cell and atoms, written as Quantum ESPRESSO input:
```
&SYSTEM
  ibrav = 0, nat = 6, ntyp = 3
/
ATOMIC_SPECIES
Ta 180.95 Ta.upf
V 50.94 V.upf
Pa 231.04 Pa.upf
ATOMIC_POSITIONS crystal
Ta 0.0000 0.0000 0.0000
V 0.6245 0.6245 0.1266
V 0.6245 0.6245 0.6245
V 0.6245 0.1266 0.6245
V 0.1266 0.6245 0.6245
Pa 0.2500 0.2500 0.2500
CELL_PARAMETERS angstrom
-3.0811 -1.8711 -3.7018
2.0467 -1.9289 -4.3345
-0.1679 -5.0860 -0.8956
```

=====

Here is crystalline ZrPaTaV at its relaxed geometry from Alexandria. Energies are from PBE-GGA. Values from VASP.

For the total energy, the calculation gives -0.703 Ry per atom. For the formation energy, the calculation gives 0.19 eV/atom. The calculation puts the volume at 80 Å³/cell. The density comes out at 11.5 g cm⁻³.

Cell and atoms, written as Quantum ESPRESSO input:
```
&SYSTEM
  ibrav = 0, nat = 4, ntyp = 4
/
ATOMIC_SPECIES
Zr 91.22 Zr.upf
Pa 231.04 Pa.upf
Ta 180.95 Ta.upf
V 50.94 V.upf
ATOMIC_POSITIONS crystal
Zr 0.7500 0.7500 0.7500
Pa 0.2500 0.2500 0.2500
Ta 0.0000 0.0000 0.0000
V 0.5000 0.5000 0.5000
CELL_PARAMETERS angstrom
-0.2737 4.3450 -2.1031
-2.7717 3.4544 1.9396
2.0449 3.8400 2.1095
```

=====

Here is crystalline PaTaW2 at its relaxed geometry from Alexandria. Energies are from PBE-GGA. Values from VASP.

For the total energy, the calculation gives -0.852 Ry per atom. For the formation energy, the calculation gives 0.23 eV/atom. The calculation puts the volume at 75 Å³/cell. The density comes out at 17.2 g cm⁻³.

Cell and atoms, written as Quantum ESPRESSO input:
```
&SYSTEM
  ibrav = 0, nat = 4, ntyp = 3
/
ATOMIC_SPECIES
Ta 180.95 Ta.upf
W 183.84 W.upf
Pa 231.04 Pa.upf
ATOMIC_POSITIONS crystal
Ta 0.5000 0.5000 0.0000
W 0.0000 0.0000 0.2383
W 0.0000 0.0000 0.7617
Pa 0.5000 0.5000 0.5000
CELL_PARAMETERS angstrom
3.3573 0.0000 0.0000
0.0000 3.3573 0.0000
0.0000 0.0000 6.6964
```

=====

Here is crystalline PaTaW at its relaxed geometry from Alexandria. Energies are from PBE-GGA. Values from VASP.

For the total energy, the calculation gives -0.823 Ry per atom. For the formation energy, the calculation gives 0.23 eV/atom. The calculation puts the volume at 61 Å³/cell. As for the distance to the lowest polymorph of the same formula: 0.33 eV/f.u. The density comes out at 16.3 g cm⁻³.

Cell and atoms, written as Quantum ESPRESSO input:
```
&SYSTEM
  ibrav = 0, nat = 3, ntyp = 3
/
ATOMIC_SPECIES
W 183.84 W.upf
Pa 231.04 Pa.upf
Ta 180.95 Ta.upf
ATOMIC_POSITIONS crystal
W 0.6767 0.6767 0.3534
Pa 0.0070 0.0070 0.0140
Ta 0.3163 0.3163 0.6326
CELL_PARAMETERS angstrom
3.3636 0.0000 0.0000
0.0000 3.3636 0.0000
-1.6818 -1.6818 5.3582
```

=====

Here is crystalline PaTaW at its relaxed geometry from Alexandria. Energies are from PBE-GGA. Values from VASP.

For the total energy, the calculation gives -0.831 Ry per atom. For the formation energy, the calculation gives 0.13 eV/atom. The calculation puts the volume at 234 Å³/cell. As for the distance to the lowest polymorph of the same formula: 0.00 eV/f.u. The density comes out at 16.9 g cm⁻³.

Cell and atoms, written as Quantum ESPRESSO input:
```
&SYSTEM
  ibrav = 0, nat = 12, ntyp = 3
/
ATOMIC_SPECIES
Pa 231.04 Pa.upf
Ta 180.95 Ta.upf
W 183.84 W.upf
ATOMIC_POSITIONS crystal
Pa 0.5823 0.0426 0.2926
Pa 0.5822 0.5427 0.7926
Pa 0.4178 0.4573 0.2074
Pa 0.4177 0.9574 0.7074
Ta 0.9076 0.2173 0.4673
Ta 0.9076 0.7173 0.9673
Ta 0.0924 0.7827 0.5327
Ta 0.0924 0.2827 0.0327
W 0.7549 0.1203 0.8703
W 0.7549 0.6202 0.3702
W 0.2451 0.8797 0.1297
W 0.2451 0.3798 0.6298
CELL_PARAMETERS angstrom
4.7964 0.3213 0.2627
1.9554 7.1091 -0.3409
1.9528 1.1209 7.0292
```